A relaxed KCN2 crystal. Source: Alexandria via LeMat-Bulk, functional PBE. Values from VASP.

```
&SYSTEM
  ibrav = 0, nat = 4, ntyp = 3
/
ATOMIC_SPECIES
K 39.10 K.upf
C 12.01 C.upf
N 14.01 N.upf
ATOMIC_POSITIONS crystal
K 0.000 0.000 0.000
C 0.500 0.500 0.500
N 0.123 0.123 0.123
N 0.877 0.877 0.877
CELL_PARAMETERS angstrom
1.328 0.767 6.776
-1.328 0.767 6.776
0.000 -1.533 6.776
```

## Properties
Relative energy among the computed polymorphs, meV/atom: 2176
Spin magnetization, μB per cell: 1.0
DFT total energy, eV/f.u.: -18.12
Formation energy (no corrections), kJ/mol of formula units: 854
D(E_F), states/eV/atom: 0.3590
Calculated volume, Å³ per atom: 10.35

=====

A relaxed LaYCuI2 crystal. Source: Alexandria via LeMat-Bulk, functional PBE. Values from VASP.

```
&SYSTEM
  ibrav = 0, nat = 5, ntyp = 4
/
ATOMIC_SPECIES
La 138.91 La.upf
Y 88.91 Y.upf
Cu 63.55 Cu.upf
I 126.90 I.upf
ATOMIC_POSITIONS crystal
La 0.000 0.000 0.000
Y 0.500 0.500 0.000
Cu 0.000 0.000 0.500
I 0.000 0.500 0.500
I 0.500 0.000 0.500
CELL_PARAMETERS angstrom
5.410 0.000 0.000
0.000 5.410 0.000
0.000 0.000 5.473
```

## Properties
Spin magnetization, μB per cell: 0.0
DFT total energy, eV/f.u.: -18.14
Formation energy (no corrections), kJ/mol of formula units: 43
D(E_F), states/eV/atom: 0.7914
Calculated volume, Å³ per atom: 32.04